# CrCdO GGA+U relaxed
data_CrCdO
_cell_length_a 3.038
_cell_length_b 3.297
_cell_length_c 5.011
_cell_angle_alpha 90.00
_cell_angle_beta 90.00
_cell_angle_gamma 90.00
_space_group_name_H-M_alt 'P 1'
_space_group_IT_number 1
_space_group_name_Hall 'P 1'
loop_
_atom_site_label
_atom_site_fract_x
_atom_site_fract_y
_atom_site_fract_z
_atom_site_occupancy
Cr1 0.000 0.000 0.000 1
Cd1 0.500 0.500 0.582 1
O1 0.500 0.000 0.254 1
# N(E_F) (states/eV/cell): 0.47
# Uncorrected energy (eV/atom): -5.1264
# Space-group type: No. 25
# V (Å³ per cell): 50